Computed, not measured: a relaxed RbPaTa crystal at the PBE level of DFT.

Results
**Magnetic moment**: 3.16 Bohr magnetons per cell
**Space-group type**: F-43m

Lattice parameters (Å, degrees): 5.044 5.044 5.044 60.00 60.00 60.00
Positions (direct):
Pa (0.000, 0.000, 0.000)
Rb (0.250, 0.250, 0.250)
Ta (0.750, 0.750, 0.750)

Computed, not measured: a relaxed Sb2Pd2Pb3 crystal at the PBE level of DFT.

Results
**Space-group type**: R3m

Lattice parameters (Å, degrees): 9.383 9.383 9.383 29.72 29.72 29.72
Positions (direct):
Pb (0.376, 0.376, 0.376)
Pb (0.642, 0.642, 0.642)
Pb (0.905, 0.905, 0.905)
Pd (0.009, 0.009, 0.009)
Pd (0.483, 0.483, 0.483)
Sb (0.179, 0.179, 0.179)
Sb (0.780, 0.780, 0.780)

Computed, not measured: a relaxed HfZrSbAs crystal at the PBE level of DFT.

Results
**Magnetic moment**: 0.00 Bohr magnetons per cell
**Space-group type**: P-3m1
**Distance to the lowest polymorph of the same formula**: 2 meV per atom

Lattice parameters (Å, degrees): 3.925 3.925 13.314 90.00 90.00 120.00
Positions (direct):
As (0.000, 0.000, 0.000)
As (0.000, 0.000, 0.500)
Hf (0.667, 0.333, 0.393)
Hf (0.333, 0.667, 0.607)
Sb (0.333, 0.667, 0.253)
Sb (0.667, 0.333, 0.747)
Zr (0.667, 0.333, 0.108)
Zr (0.333, 0.667, 0.892)

Computed, not measured: a relaxed MgScTlFe crystal at the PBE level of DFT.

Results
**Magnetic moment**: 1.75 Bohr magnetons per cell
**Space-group type**: F-43m
**Distance to the lowest polymorph of the same formula**: 28 meV per atom

Lattice parameters (Å, degrees): 4.736 4.736 4.736 60.00 60.00 60.00
Positions (direct):
Fe (0.750, 0.750, 0.750)
Mg (0.250, 0.250, 0.250)
Sc (0.500, 0.500, 0.500)
Tl (0.000, 0.000, 0.000)

Computed, not measured: a relaxed SmPuBr3N crystal at the PBE level of DFT.

Results
**Magnetic moment**: 9.99 Bohr magnetons per cell
**Space-group type**: C2/m

Lattice parameters (Å, degrees): 9.351 9.351 11.616 123.38 123.38 24.14
Each line ends with the local moment (μB).
Positions (direct):
Br (0.219, 0.219, 0.121)  -0.01
Br (0.960, 0.960, 0.256)  -0.01
Br (0.334, 0.334, 0.491)  -0.04
Br (0.666, 0.666, 0.509)  -0.04
Br (0.040, 0.040, 0.744)  -0.01
Br (0.781, 0.781, 0.879)  -0.01
N (0.576, 0.576, 0.158)  -0.13
N (0.424, 0.424, 0.842)  -0.13
Pu (0.134, 0.134, 0.284)  4.98
Pu (0.866, 0.866, 0.716)  4.98
Sm (0.422, 0.422, 0.042)  0.04
Sm (0.578, 0.578, 0.958)  0.04

Computed, not measured: a relaxed ThAl2Ni3 crystal at the PBE level of DFT.

Results
**Magnetic moment**: 0.02 Bohr magnetons per cell
**Space-group type**: P-3m1

Lattice parameters (Å, degrees): 4.061 4.061 6.605 90.00 90.00 120.00
Positions (direct):
Al (0.333, 0.667, 0.365)
Al (0.667, 0.333, 0.635)
Ni (0.667, 0.333, 0.266)
Ni (0.000, 0.000, 0.500)
Ni (0.333, 0.667, 0.734)
Th (0.000, 0.000, 0.000)

Computed, not measured: a relaxed K2LiH6Ir crystal at the PBE level of DFT.

Results
**Magnetic moment**: 0.00 Bohr magnetons per cell
**Space-group type**: Fm-3m

Lattice parameters (Å, degrees): 5.470 5.470 5.470 60.00 60.00 60.00
Positions (direct):
H (0.780, 0.780, 0.220)
H (0.780, 0.220, 0.220)
H (0.220, 0.780, 0.220)
H (0.780, 0.220, 0.780)
H (0.220, 0.220, 0.780)
H (0.220, 0.780, 0.780)
Ir (0.000, 0.000, 0.000)
K (0.250, 0.250, 0.250)
K (0.750, 0.750, 0.750)
Li (0.500, 0.500, 0.500)

Computed, not measured: a relaxed Nb4SiC2S crystal at the PBE level of DFT.

Results
**Magnetic moment**: 0.00 Bohr magnetons per cell
**Space-group type**: P-6m2

Lattice parameters (Å, degrees): 3.285 3.285 11.979 90.00 90.00 120.00
Positions (direct):
C (0.333, 0.667, 0.254)
C (0.333, 0.667, 0.746)
Nb (0.667, 0.333, 0.156)
Nb (0.000, 0.000, 0.350)
Nb (0.000, 0.000, 0.650)
Nb (0.667, 0.333, 0.844)
S (0.667, 0.333, 0.500)
Si (0.000, 0.000, 0.000)

Computed, not measured: a relaxed RbHfTe3Au crystal at the PBE level of DFT.

Results
**Magnetic moment**: 0.00 Bohr magnetons per cell
**Space-group type**: Cmcm

Lattice parameters (Å, degrees): 8.489 8.489 11.098 90.00 90.00 151.57
Positions (direct):
Au (0.457, 0.543, 0.250)
Au (0.543, 0.457, 0.750)
Hf (0.000, 0.000, 0.000)
Hf (0.000, 0.000, 0.500)
Rb (0.760, 0.240, 0.250)
Rb (0.240, 0.760, 0.750)
Te (0.377, 0.623, 0.035)
Te (0.069, 0.931, 0.250)
Te (0.377, 0.623, 0.465)
Te (0.623, 0.377, 0.535)
Te (0.931, 0.069, 0.750)
Te (0.623, 0.377, 0.965)

Computed, not measured: a relaxed ScBeTlPt crystal at the PBE level of DFT.

Results
**Magnetic moment**: 0.00 Bohr magnetons per cell
**Space-group type**: F-43m
**Distance to the lowest polymorph of the same formula**: 54 meV per atom

Lattice parameters (Å, degrees): 4.583 4.583 4.583 60.00 60.00 60.00
Positions (direct):
Be (0.750, 0.750, 0.750)
Pt (0.500, 0.500, 0.500)
Sc (0.000, 0.000, 0.000)
Tl (0.250, 0.250, 0.250)

Computed, not measured: a relaxed GdHoCd6 crystal at the PBE level of DFT.

Results
**Magnetic moment**: 0.00 Bohr magnetons per cell
**Space-group type**: P-6m2
**Energy of formation from the pure elements**: -0.294 eV/atom
**Distance to the lowest polymorph of the same formula**: 0 meV per atom

Lattice parameters (Å, degrees): 6.593 6.593 4.975 90.00 90.00 120.00
Positions (direct):
Cd (0.007, 0.504, 0.000)
Cd (0.496, 0.504, 0.000)
Cd (0.496, 0.993, 0.000)
Cd (0.172, 0.343, 0.500)
Cd (0.172, 0.828, 0.500)
Cd (0.657, 0.828, 0.500)
Gd (0.000, 0.000, 0.000)
Ho (0.667, 0.333, 0.500)

Computed, not measured: a relaxed PrLuPO crystal at the PBE level of DFT.

Results
**Magnetic moment**: 0.17 Bohr magnetons per cell
**Space-group type**: P4/nmm
**Distance to the lowest polymorph of the same formula**: 220 meV per atom

Lattice parameters (Å, degrees): 4.318 4.318 8.645 90.00 90.00 90.00
Positions (direct):
Lu (0.250, 0.250, 0.084)
Lu (0.750, 0.750, 0.916)
O (0.750, 0.250, 0.000)
O (0.250, 0.750, 0.000)
P (0.750, 0.750, 0.281)
P (0.250, 0.250, 0.719)
Pr (0.750, 0.250, 0.500)
Pr (0.250, 0.750, 0.500)

Computed, not measured: a relaxed Zr4InCuC2 crystal at the PBE level of DFT.

Results
**Magnetic moment**: 0.03 Bohr magnetons per cell
**Space-group type**: P-6m2

Lattice parameters (Å, degrees): 3.344 3.344 14.337 90.00 90.00 120.00
Positions (direct):
C (0.667, 0.333, 0.262)
C (0.667, 0.333, 0.738)
Cu (0.000, 0.000, 0.500)
In (0.333, 0.667, 0.000)
Zr (0.000, 0.000, 0.176)
Zr (0.333, 0.667, 0.354)
Zr (0.333, 0.667, 0.646)
Zr (0.000, 0.000, 0.824)

Computed, not measured: a relaxed USiIr crystal at the PBE level of DFT.

Results
**Magnetic moment**: 1.03 Bohr magnetons per cell
**Space-group type**: F-43m

Lattice parameters (Å, degrees): 4.460 4.460 4.460 60.00 60.00 60.00
Positions (direct):
Ir (0.000, 0.000, 0.000)
Si (0.750, 0.750, 0.750)
U (0.250, 0.250, 0.250)

Computed, not measured: a relaxed Pa2TeCSe crystal at the PBE level of DFT.

Results
**Magnetic moment**: 0.03 Bohr magnetons per cell
**Space-group type**: P3m1

Lattice parameters (Å, degrees): 3.827 3.827 10.503 90.00 90.00 120.00
Positions (direct):
C (0.000, 0.000, 0.992)
Pa (0.667, 0.333, 0.122)
Pa (0.333, 0.667, 0.867)
Se (0.667, 0.333, 0.697)
Te (0.333, 0.667, 0.322)

Computed, not measured: a relaxed Ta11Al2 crystal at the PBE level of DFT.

Results
**Magnetic moment**: 0.08 Bohr magnetons per cell
**Space-group type**: R-3m
**Distance to the lowest polymorph of the same formula**: 0 meV per atom

Lattice parameters (Å, degrees): 10.088 10.088 10.088 30.95 30.95 30.95
Positions (direct):
Al (0.452, 0.452, 0.452)
Al (0.548, 0.548, 0.548)
Ta (0.000, 0.000, 0.000)
Ta (0.585, 0.091, 0.091)
Ta (0.091, 0.585, 0.091)
Ta (0.168, 0.168, 0.168)
Ta (0.351, 0.351, 0.351)
Ta (0.909, 0.909, 0.415)
Ta (0.091, 0.091, 0.585)
Ta (0.649, 0.649, 0.649)
Ta (0.832, 0.832, 0.832)
Ta (0.909, 0.415, 0.909)
Ta (0.415, 0.909, 0.909)

Computed, not measured: a relaxed Dy3Er2Lu2Te2Pd2 crystal at the PBE level of DFT.

Results
**Magnetic moment**: 0.01 Bohr magnetons per cell
**Space-group type**: Imm2
**Distance to the lowest polymorph of the same formula**: 0 meV per atom

Lattice parameters (Å, degrees): 9.349 9.349 9.349 155.72 67.04 118.59
Positions (direct):
Dy (0.881, 0.736, 0.145)
Dy (0.498, 0.998, 0.500)
Dy (0.591, 0.736, 0.855)
Er (0.953, 0.583, 0.370)
Er (0.214, 0.583, 0.630)
Lu (0.556, 0.374, 0.182)
Lu (0.192, 0.374, 0.818)
Pd (0.327, 0.064, 0.262)
Pd (0.802, 0.064, 0.738)
Te (0.235, 0.235, 0.000)
Te (0.838, 0.338, 0.500)

Computed, not measured: a relaxed PmH crystal at the PBE level of DFT.

Results
**Magnetic moment**: 0.00 Bohr magnetons per cell
**Space-group type**: Fm-3m
**Distance to the lowest polymorph of the same formula**: 0 meV per atom

Lattice parameters (Å, degrees): 3.589 3.589 3.589 60.00 60.00 60.00
Positions (direct):
H (0.000, 0.000, 0.000)
Pm (0.500, 0.500, 0.500)

Computed, not measured: a relaxed ErTm2TlCd3Ga2 crystal at the PBE level of DFT.

Results
**Magnetic moment**: 0.00 Bohr magnetons per cell
**Space-group type**: Amm2

Lattice parameters (Å, degrees): 4.489 7.280 7.280 120.05 90.00 90.00
Positions (direct):
Cd (0.500, 0.739, 0.000)
Cd (0.500, 0.261, 0.261)
Cd (0.500, 0.000, 0.739)
Er (0.000, 0.565, 0.565)
Ga (0.500, 0.667, 0.333)
Ga (0.500, 0.333, 0.667)
Tl (0.000, 0.001, 0.001)
Tm (0.000, 0.000, 0.435)
Tm (0.000, 0.435, 0.000)

Computed, not measured: a relaxed BiPW4N2 crystal at the PBE level of DFT.

Results
**Magnetic moment**: 0.00 Bohr magnetons per cell
**Space-group type**: P-6m2

Lattice parameters (Å, degrees): 3.054 3.054 14.094 90.00 90.00 120.00
Positions (direct):
Bi (0.333, 0.667, 0.500)
N (0.000, 0.000, 0.221)
N (0.000, 0.000, 0.779)
P (0.667, 0.333, 0.000)
W (0.333, 0.667, 0.122)
W (0.667, 0.333, 0.306)
W (0.667, 0.333, 0.694)
W (0.333, 0.667, 0.878)

Number 1: calculated total energy -5.058 eV per atom. Number 2: calculated total energy -4.319 eV per atom. Number 3: calculated total energy -7.708 eV per atom. Number 4: calculated total energy -4.479 eV per atom. Number 5: calculated total energy -7.020 eV per atom. Number 6: calculated total energy -5.857 eV per atom. Number 7: calculated total energy -3.675 eV per atom. Number 8: calculated total energy -9.190 eV per atom. Number 9: calculated total energy -4.651 eV per atom. Number 10: calculated total energy -4.819 eV per atom. Number 11: calculated total energy -2.120 eV per atom. Number 12: calculated total energy -6.644 eV per atom. Number 13: calculated total energy -7.915 eV per atom. Number 14: calculated total energy -8.843 eV per atom. Number 15: calculated total energy -7.739 eV per atom. Number 16: calculated total energy -10.513 eV per atom. Number 17: calculated total energy -5.280 eV per atom. Number 18: calculated total energy -4.454 eV per atom. Number 19: calculated total energy -3.149 eV per atom. Number 20: calculated total energy -9.333 eV per atom.